This record from Alexandria via LeMat-Bulk describes crystalline VCu2SnPt at its relaxed geometry. The functional is PBE.

Output
**D(E_F)**: 5.08 states/eV/cell
**ΔE_f**: 0.677 eV/atom

Unit cell a=4.725 b=4.725 c=4.621 alpha=90.00 beta=90.00 gamma=90.00
Element x y z (fractional)
V 0.000 0.000 0.000
Cu 0.000 0.500 0.500
Cu 0.500 0.000 0.500
Sn 0.500 0.500 0.000
Pt 0.000 0.000 0.500

=====

This record from Alexandria via LeMat-Bulk describes crystalline Tm4BTe3 at its relaxed geometry. The functional is PBE.

Output
**Uncorrected formation energy**: -1028 meV per atom
**D(E_F)**: 4.61 states/eV/cell

Unit cell a=8.549 b=11.984 c=4.080 alpha=90.00 beta=90.00 gamma=90.00
Element x y z (fractional)
Tm 0.000 0.213 0.000
Tm 0.000 0.787 0.000
Tm 0.204 0.000 0.500
Tm 0.296 0.500 0.500
Tm 0.500 0.287 0.000
Tm 0.500 0.713 0.000
Tm 0.704 0.500 0.500
Tm 0.796 0.000 0.500
B 0.000 0.000 0.000
B 0.500 0.500 0.000
Te 0.000 0.500 0.000
Te 0.250 0.250 0.500
Te 0.250 0.750 0.500
Te 0.500 0.000 0.000
Te 0.750 0.250 0.500
Te 0.750 0.750 0.500

=====

This record from Alexandria via LeMat-Bulk describes crystalline Pr5MgAg4 at its relaxed geometry. The functional is PBE.

Output
**D(E_F)**: 10.38 states/eV/cell
**ΔE_f**: -0.217 eV/atom

Unit cell a=3.814 b=3.814 c=18.971 alpha=90.00 beta=90.00 gamma=90.00
Element x y z (fractional)
Pr 0.000 0.000 0.000
Pr 0.000 0.000 0.198
Pr 0.000 0.000 0.395
Pr 0.000 0.000 0.605
Pr 0.000 0.000 0.802
Mg 0.500 0.500 0.500
Ag 0.500 0.500 0.099
Ag 0.500 0.500 0.298
Ag 0.500 0.500 0.702
Ag 0.500 0.500 0.901

=====

This record from Alexandria via LeMat-Bulk describes crystalline Ho2Ni5Ge3 at its relaxed geometry. The functional is PBE.

Output
**D(E_F)**: 15.30 states/eV/cell
**ΔE_f**: -0.587 eV/atom

Unit cell a=11.895 b=11.895 c=6.709 alpha=90.00 beta=90.00 gamma=160.93
Element x y z (fractional)
Ho 0.022 0.978 0.500
Ho 0.342 0.658 0.037
Ho 0.658 0.342 0.537
Ho 0.978 0.022 0.000
Ni 0.105 0.895 0.828
Ni 0.212 0.788 0.196
Ni 0.212 0.788 0.825
Ni 0.352 0.648 0.505
Ni 0.449 0.551 0.683
Ni 0.551 0.449 0.183
Ni 0.648 0.352 0.005
Ni 0.788 0.212 0.325
Ni 0.788 0.212 0.696
Ni 0.895 0.105 0.328
Ge 0.112 0.888 0.202
Ge 0.254 0.746 0.511
Ge 0.449 0.551 0.307
Ge 0.551 0.449 0.807
Ge 0.746 0.254 0.011
Ge 0.888 0.112 0.702

=====

This record from Alexandria via LeMat-Bulk describes crystalline Ba3TlSn at its relaxed geometry. The functional is PBE.

Output
**D(E_F)**: 6.35 states/eV/cell
**ΔE_f**: -0.117 eV/atom

Unit cell a=6.709 b=6.709 c=6.709 alpha=90.00 beta=90.00 gamma=90.00
Element x y z (fractional)
Ba 0.000 0.000 0.500
Ba 0.000 0.500 0.000
Ba 0.500 0.000 0.000
Tl 0.500 0.500 0.500
Sn 0.000 0.000 0.000

=====

This record from Alexandria via LeMat-Bulk describes crystalline PmYErLu at its relaxed geometry. The functional is PBE.

Output
**D(E_F)**: 27.01 states/eV/cell
**ΔE_f**: 0.113 eV/atom

Unit cell a=7.999 b=7.999 c=7.999 alpha=90.00 beta=90.00 gamma=90.00
Element x y z (fractional)
Pm 0.000 0.000 0.000
Pm 0.000 0.500 0.500
Pm 0.500 0.000 0.500
Pm 0.500 0.500 0.000
Y 0.000 0.000 0.500
Y 0.000 0.500 0.000
Y 0.500 0.000 0.000
Y 0.500 0.500 0.500
Er 0.250 0.250 0.250
Er 0.250 0.750 0.750
Er 0.750 0.250 0.750
Er 0.750 0.750 0.250
Lu 0.250 0.250 0.750
Lu 0.250 0.750 0.250
Lu 0.750 0.250 0.250
Lu 0.750 0.750 0.750

=====

This record from Alexandria via LeMat-Bulk describes crystalline KFeW4 at its relaxed geometry. The functional is PBE.

Output
**D(E_F)**: 6.31 states/eV/cell
**ΔE_f**: 1.310 eV/atom

Unit cell a=5.418 b=5.418 c=5.418 alpha=60.00 beta=60.00 gamma=60.00
Element x y z (fractional)
K 0.000 0.000 0.000
Fe 0.250 0.250 0.250
W 0.122 0.626 0.626
W 0.626 0.122 0.626
W 0.626 0.626 0.122
W 0.626 0.626 0.626

=====

This record from Alexandria via LeMat-Bulk describes crystalline Tl2H2I2O at its relaxed geometry. The functional is PBE.

Output
**D(E_F)**: 0.00 states/eV/cell

Unit cell a=10.445 b=8.397 c=4.600 alpha=90.00 beta=109.28 gamma=90.00
Element x y z (fractional)
Tl 0.000 0.241 0.000
Tl 0.000 0.759 0.000
Tl 0.500 0.259 0.000
Tl 0.500 0.741 0.000
H 0.094 0.500 0.500
H 0.406 0.000 0.500
H 0.594 0.000 0.500
H 0.906 0.500 0.500
I 0.209 0.000 0.656
I 0.291 0.500 0.344
I 0.709 0.500 0.656
I 0.791 0.000 0.344
O 0.000 0.500 0.500
O 0.500 0.000 0.500

=====

This record from Alexandria via LeMat-Bulk describes crystalline ZnSeBr2 at its relaxed geometry. The functional is PBE.

Output
**Uncorrected formation energy**: -437 meV per atom
**D(E_F)**: 0.00 states/eV/cell

Unit cell a=4.068 b=4.093 c=7.978 alpha=90.00 beta=92.98 gamma=90.00
Element x y z (fractional)
Zn 0.000 0.000 0.000
Se 0.830 0.500 0.148
Br 0.121 0.500 0.410
Br 0.456 0.000 0.812

=====

This record from Alexandria via LeMat-Bulk describes crystalline AcLaSi2Ni2 at its relaxed geometry. The functional is PBE.

Output
**Uncorrected formation energy**: -676 meV per atom
**D(E_F)**: 5.31 states/eV/cell

Unit cell a=4.087 b=4.087 c=8.872 alpha=90.00 beta=90.00 gamma=120.00
Element x y z (fractional)
Ac 0.000 0.000 0.000
La 0.000 0.000 0.500
Si 0.333 0.667 0.742
Si 0.667 0.333 0.258
Ni 0.333 0.667 0.258
Ni 0.667 0.333 0.742

=====

This record from Alexandria via LeMat-Bulk describes crystalline ThCuGe at its relaxed geometry. The functional is PBE.

Output
**D(E_F)**: 5.13 states/eV/cell
**ΔE_f**: -0.443 eV/atom

Unit cell a=4.316 b=3.993 c=7.375 alpha=90.00 beta=90.00 gamma=90.00
Element x y z (fractional)
Th 0.250 0.000 0.245
Th 0.750 0.000 0.755
Cu 0.250 0.500 0.923
Cu 0.750 0.500 0.077
Ge 0.250 0.500 0.594
Ge 0.750 0.500 0.406

=====

This record from Alexandria via LeMat-Bulk describes crystalline LaDy2Y3Tm6 at its relaxed geometry. The functional is PBE.

Output
**D(E_F)**: 17.07 states/eV/cell
**ΔE_f**: 0.029 eV/atom

Unit cell a=6.133 b=6.133 c=11.720 alpha=94.99 beta=94.99 gamma=119.96
Element x y z (fractional)
La 0.000 0.000 0.000
Dy 0.333 0.667 0.000
Dy 0.667 0.333 0.000
Y 0.167 0.833 0.500
Y 0.500 0.500 0.500
Y 0.833 0.167 0.500
Tm 0.084 0.418 0.251
Tm 0.251 0.251 0.749
Tm 0.418 0.084 0.251
Tm 0.582 0.916 0.749
Tm 0.749 0.749 0.251
Tm 0.916 0.582 0.749

=====

This record from Alexandria via LeMat-Bulk describes crystalline Si2RhSe at its relaxed geometry. The functional is PBE.

Output
**Uncorrected formation energy**: -144 meV per atom
**D(E_F)**: 4.02 states/eV/cell

Unit cell a=5.746 b=3.310 c=7.017 alpha=90.00 beta=105.97 gamma=90.00
Element x y z (fractional)
Si 0.246 0.000 0.235
Si 0.254 0.500 0.765
Si 0.746 0.500 0.235
Si 0.754 0.000 0.765
Rh 0.000 0.500 0.000
Rh 0.500 0.000 0.000
Se 0.000 0.000 0.500
Se 0.500 0.500 0.500

=====

This record from Alexandria via LeMat-Bulk describes crystalline Ce3AgHg4 at its relaxed geometry. The functional is PBE.

Output
**D(E_F)**: 39.55 states/eV/cell
**ΔE_f**: -0.150 eV/atom

Unit cell a=3.496 b=9.779 c=12.829 alpha=90.00 beta=90.00 gamma=90.00
Element x y z (fractional)
Ce 0.000 0.000 0.000
Ce 0.000 0.500 0.218
Ce 0.000 0.500 0.782
Ce 0.500 0.000 0.282
Ce 0.500 0.000 0.718
Ce 0.500 0.500 0.500
Ag 0.000 0.000 0.500
Ag 0.500 0.500 0.000
Hg 0.000 0.257 0.378
Hg 0.000 0.257 0.622
Hg 0.000 0.743 0.378
Hg 0.000 0.743 0.622
Hg 0.500 0.243 0.122
Hg 0.500 0.243 0.878
Hg 0.500 0.757 0.122
Hg 0.500 0.757 0.878

=====

This record from Alexandria via LeMat-Bulk describes crystalline Er8Rh3Au2 at its relaxed geometry. The functional is PBE.

Output
**D(E_F)**: 12.17 states/eV/cell
**ΔE_f**: -0.673 eV/atom

Unit cell a=8.411 b=4.853 c=8.425 alpha=90.00 beta=109.18 gamma=90.00
Element x y z (fractional)
Er 0.119 0.000 0.380
Er 0.132 0.500 0.872
Er 0.372 0.500 0.632
Er 0.379 0.000 0.121
Er 0.621 0.000 0.879
Er 0.628 0.500 0.368
Er 0.868 0.500 0.128
Er 0.881 0.000 0.620
Rh 0.251 0.000 0.750
Rh 0.500 0.500 0.000
Rh 0.749 0.000 0.250
Au 0.247 0.500 0.253
Au 0.753 0.500 0.747

=====

This record from Alexandria via LeMat-Bulk describes crystalline ZrFe2Cu2 at its relaxed geometry. The functional is PBE.

Output
**D(E_F)**: 5.55 states/eV/cell
**ΔE_f**: 0.096 eV/atom

Unit cell a=3.661 b=3.661 c=10.769 alpha=90.00 beta=90.00 gamma=90.00
Element x y z (fractional)
Zr 0.000 0.000 0.000
Zr 0.500 0.500 0.500
Fe 0.000 0.000 0.400
Fe 0.000 0.000 0.600
Fe 0.500 0.500 0.100
Fe 0.500 0.500 0.900
Cu 0.000 0.500 0.250
Cu 0.000 0.500 0.750
Cu 0.500 0.000 0.250
Cu 0.500 0.000 0.750

=====

This record from Alexandria via LeMat-Bulk describes crystalline Ag5Mo3 at its relaxed geometry. The functional is PBE.

Output
**D(E_F)**: 15.82 states/eV/cell
**ΔE_f**: 0.882 eV/atom

Unit cell a=8.181 b=8.181 c=4.978 alpha=90.00 beta=90.00 gamma=120.00
Element x y z (fractional)
Ag 0.000 0.210 0.250
Ag 0.000 0.790 0.750
Ag 0.210 0.000 0.250
Ag 0.210 0.210 0.750
Ag 0.333 0.667 0.000
Ag 0.333 0.667 0.500
Ag 0.667 0.333 0.000
Ag 0.667 0.333 0.500
Ag 0.790 0.000 0.750
Ag 0.790 0.790 0.250
Mo 0.000 0.426 0.750
Mo 0.000 0.574 0.250
Mo 0.426 0.000 0.750
Mo 0.426 0.426 0.250
Mo 0.574 0.000 0.250
Mo 0.574 0.574 0.750

=====

This record from Alexandria via LeMat-Bulk describes crystalline CsScCr2Cl8 at its relaxed geometry. The functional is PBE.

Output
**Uncorrected formation energy**: -1467 meV per atom

Unit cell a=6.606 b=6.693 c=9.079 alpha=109.84 beta=94.31 gamma=110.78
Element x y z (fractional)
Cs 0.000 0.000 0.000
Sc 0.000 0.500 0.500
Cr 0.427 0.316 0.789
Cr 0.573 0.684 0.211
Cl 0.171 0.557 0.274
Cl 0.254 0.312 0.549
Cl 0.292 0.900 0.685
Cl 0.429 0.679 0.959
Cl 0.571 0.321 0.041
Cl 0.708 0.100 0.315
Cl 0.746 0.688 0.451
Cl 0.829 0.443 0.726

=====

This record from Alexandria via LeMat-Bulk describes crystalline AcPu2CdO8 at its relaxed geometry. The functional is PBE.

Output
**Uncorrected formation energy**: -2165 meV per atom
**D(E_F)**: 16.04 states/eV/cell

Unit cell a=6.535 b=6.535 c=6.535 alpha=109.66 beta=109.66 gamma=109.10
Element x y z (fractional)
Ac 0.000 0.000 0.000
Pu 0.500 0.500 0.000
Pu 0.750 0.250 0.500
Cd 0.250 0.750 0.500
O 0.310 0.125 0.815
O 0.310 0.494 0.185
O 0.380 0.059 0.321
O 0.506 0.690 0.815
O 0.738 0.059 0.679
O 0.875 0.690 0.185
O 0.941 0.262 0.321
O 0.941 0.620 0.679

=====

This record from Alexandria via LeMat-Bulk describes crystalline La4HoCu5 at its relaxed geometry. The functional is PBE.

Output
**D(E_F)**: 8.13 states/eV/cell
**ΔE_f**: -0.158 eV/atom

Unit cell a=3.594 b=3.594 c=18.273 alpha=90.00 beta=90.00 gamma=90.00
Element x y z (fractional)
La 0.000 0.000 0.102
La 0.000 0.000 0.307
La 0.000 0.000 0.693
La 0.000 0.000 0.898
Ho 0.000 0.000 0.500
Cu 0.500 0.500 0.000
Cu 0.500 0.500 0.204
Cu 0.500 0.500 0.415
Cu 0.500 0.500 0.585
Cu 0.500 0.500 0.796

=====

Number 1: raw total energy -4.79 eV per atom. Number 2: raw total energy -5.28 eV per atom. Number 3: raw total energy -3.91 eV per atom. Number 4: raw total energy -5.78 eV per atom. Number 5: raw total energy -2.54 eV per atom. Number 6: raw total energy -4.96 eV per atom. Number 7: raw total energy -8.92 eV per atom. Number 8: raw total energy -3.40 eV per atom. Number 9: raw total energy -2.46 eV per atom. Number 10: raw total energy -5.92 eV per atom. Number 11: raw total energy -5.82 eV per atom. Number 12: raw total energy -5.00 eV per atom. Number 13: raw total energy -5.56 eV per atom. Number 14: raw total energy -2.88 eV per atom. Number 15: raw total energy -5.68 eV per atom. Number 16: raw total energy -6.64 eV per atom. Number 17: raw total energy -4.96 eV per atom. Number 18: raw total energy -4.90 eV per atom. Number 19: raw total energy -8.28 eV per atom. Number 20: raw total energy -4.63 eV per atom.